Record 1
# KBeW3

A relaxed KBeW3 crystal (PBE, the Alexandria database).

The structure in POSCAR format:
```
KBeW3
1.0
4.477 0.000 0.000
0.000 4.477 0.000
0.000 0.000 4.477
K Be W
1 1 3
Direct
0.000 0.000 0.000
0.500 0.500 0.500
0.000 0.500 0.500
0.500 0.000 0.500
0.500 0.500 0.000
```

## Properties
As for the calculated volume: 17.95 A^3/atom. The value obtained for the total magnetic moment is 0.0 μB per formula unit. As for the energy relative to the elements: 1886 meV/atom. Its crystal system is cubic. Its offset from the most stable computed form is 0 kJ/mol of formula units. The density of states at the Fermi level is 1.35 states/eV/atom.

Record 2
# KAlPb2Cl8

A relaxed KAlPb2Cl8 crystal (PBE, the Alexandria database).

The structure in POSCAR format:
```
KAlPb2Cl8
1.0
6.322 0.000 0.000
-0.185 6.593 0.000
-0.016 -0.005 8.631
K Al Pb Cl
1 1 2 8
Direct
0.000 0.000 0.000
0.000 0.000 0.500
0.500 0.500 0.261
0.500 0.500 0.739
0.215 0.705 0.500
0.216 0.144 0.306
0.217 0.143 0.695
0.273 0.631 0.000
0.727 0.369 0.000
0.783 0.857 0.305
0.784 0.856 0.694
0.785 0.295 0.500
```

## Properties
As for the calculated volume: 29.98 A^3/atom. The value obtained for the total magnetic moment is 0.0 μB per formula unit. Its crystal system is triclinic. The density of states at the Fermi level is 0.00 states/eV/atom. The formation energy without anion corrections is -1.3672 eV per atom.

Record 3
# HoNbGa2

A relaxed HoNbGa2 crystal (PBE, the Alexandria database).

The structure in POSCAR format:
```
HoNbGa2
1.0
3.543 0.000 0.000
0.000 3.543 0.000
0.000 0.000 6.180
Ho Nb Ga
1 1 2
Direct
0.000 0.000 0.000
0.000 0.000 0.500
0.500 0.500 0.290
0.500 0.500 0.710
```

## Properties
As for the calculated volume: 19.39 A^3/atom. The value obtained for the total magnetic moment is 0.0 μB per formula unit. As for the energy relative to the elements: -347 meV/atom. Its crystal system is tetragonal. Its offset from the most stable computed form is 0 kJ/mol of formula units. The density of states at the Fermi level is 0.45 states/eV/atom.

Record 4
# PmSm2AlC

A relaxed PmSm2AlC crystal (PBE, the Alexandria database).

The structure in POSCAR format:
```
PmSm2AlC
1.0
5.018 0.000 0.000
0.000 5.018 0.000
0.000 0.000 5.046
Pm Sm Al C
1 2 1 1
Direct
0.000 0.000 0.000
0.000 0.500 0.500
0.500 0.000 0.500
0.500 0.500 0.000
0.000 0.000 0.500
```

## Properties
As for the calculated volume: 25.42 A^3/atom. The value obtained for the total magnetic moment is 0.0 μB per formula unit. As for the energy relative to the elements: -249 meV/atom. Its crystal system is tetragonal. The density of states at the Fermi level is 0.42 states/eV/atom.

Record 5
# Mg3ZrS

A relaxed Mg3ZrS crystal (PBE, the Alexandria database).

The structure in POSCAR format:
```
Mg3ZrS
1.0
4.885 0.000 0.000
0.000 4.885 0.000
0.000 0.000 4.885
Mg Zr S
3 1 1
Direct
0.000 0.000 0.500
0.000 0.500 0.000
0.500 0.000 0.000
0.500 0.500 0.500
0.000 0.000 0.000
```

## Properties
As for the calculated volume: 23.31 A^3/atom. The value obtained for the total magnetic moment is 1.9 μB per formula unit. Its crystal system is cubic. Its offset from the most stable computed form is 0 kJ/mol of formula units. The density of states at the Fermi level is 2.04 states/eV/atom. The formation energy without anion corrections is 0.1401 eV per atom.

Record 6
# Th12H5Pt3

A relaxed Th12H5Pt3 crystal (PBE, the Alexandria database).

The structure in POSCAR format:
```
Th12H5Pt3
1.0
-7.785 7.785 7.785
7.785 -7.785 7.785
7.785 7.785 -7.785
Th H Pt
48 20 12
Direct
0.024 0.212 0.114
0.024 0.312 0.910
0.090 0.614 0.402
0.090 0.976 0.688
0.098 0.712 0.688
0.098 0.886 0.410
0.114 0.024 0.212
0.114 0.590 0.902
0.188 0.212 0.598
0.188 0.476 0.590
0.212 0.114 0.024
0.212 0.598 0.188
0.288 0.312 0.902
0.288 0.476 0.386
0.312 0.902 0.288
0.312 0.910 0.024
0.386 0.288 0.476
0.386 0.598 0.910
0.402 0.090 0.614
0.402 0.812 0.788
0.410 0.098 0.886
0.410 0.812 0.524
0.476 0.386 0.288
0.476 0.590 0.188
0.524 0.410 0.812
0.524 0.614 0.712
0.590 0.188 0.476
0.590 0.902 0.114
0.598 0.188 0.212
0.598 0.910 0.386
0.614 0.402 0.090
0.614 0.712 0.524
0.688 0.090 0.976
0.688 0.098 0.712
0.712 0.524 0.614
0.712 0.688 0.098
0.788 0.402 0.812
0.788 0.886 0.976
0.812 0.524 0.410
0.812 0.788 0.402
0.886 0.410 0.098
0.886 0.976 0.788
0.902 0.114 0.590
0.902 0.288 0.312
0.910 0.024 0.312
0.910 0.386 0.598
0.976 0.688 0.090
0.976 0.788 0.886
0.000 0.000 0.000
0.000 0.000 0.500
0.000 0.500 0.000
0.000 0.500 0.500
0.125 0.750 0.875
0.125 0.875 0.250
0.250 0.125 0.875
0.250 0.625 0.375
0.375 0.250 0.625
0.375 0.625 0.750
0.500 0.000 0.000
0.500 0.000 0.500
0.500 0.500 0.000
0.500 0.500 0.500
0.625 0.375 0.250
0.625 0.750 0.375
0.750 0.375 0.625
0.750 0.875 0.125
0.875 0.125 0.750
0.875 0.250 0.125
0.125 0.250 0.375
0.125 0.375 0.750
0.250 0.375 0.125
0.250 0.875 0.625
0.375 0.125 0.250
0.375 0.750 0.125
0.625 0.250 0.875
0.625 0.875 0.750
0.750 0.125 0.375
0.750 0.625 0.875
0.875 0.625 0.250
0.875 0.750 0.625
```

## Properties
As for the calculated volume: 23.59 A^3/atom. The value obtained for the total magnetic moment is 0.0 μB per formula unit. As for the electronic total energy: -6.54 eV/atom. Its crystal system is cubic. The density of states at the Fermi level is 1.05 states/eV/atom.

Record 7
# Li8La

A relaxed Li8La crystal (PBE, the Alexandria database).

The structure in POSCAR format:
```
Li8La
1.0
-5.535 5.535 1.678
5.535 -5.535 1.678
5.535 5.535 -1.678
Li La
8 1
Direct
0.000 0.328 0.328
0.000 0.672 0.672
0.319 0.319 0.639
0.319 0.681 0.000
0.328 0.000 0.328
0.672 0.000 0.672
0.681 0.319 0.000
0.681 0.681 0.361
0.000 0.000 0.000
```

## Properties
As for the calculated volume: 22.85 A^3/atom. The value obtained for the total magnetic moment is 0.1 μB per formula unit. As for the energy relative to the elements: 83 meV/atom. Its crystal system is tetragonal. The density of states at the Fermi level is 0.84 states/eV/atom.

Record 8
# Sm6CdCu

A relaxed Sm6CdCu crystal (PBE, the Alexandria database).

The structure in POSCAR format:
```
Sm6CdCu
1.0
6.178 0.000 0.000
-0.534 6.156 0.000
-0.531 -0.592 6.131
Sm Cd Cu
6 1 1
Direct
0.032 0.258 0.070
0.242 0.930 0.469
0.430 0.468 0.742
0.570 0.532 0.258
0.758 0.070 0.531
0.968 0.742 0.930
0.500 0.000 0.000
0.000 0.500 0.500
```

## Properties
As for the calculated volume: 29.15 A^3/atom. The value obtained for the total magnetic moment is 0.0 μB per formula unit. As for the energy relative to the elements: -7 meV/atom. Its crystal system is triclinic. The density of states at the Fermi level is 1.06 states/eV/atom.

calculated volume of number 7 (Li8La)?
22.85 A^3/atom

The highest total magnetic moment belongs to which entry?
Mg3ZrS

Which of these has the highest calculated volume?
KAlPb2Cl8